Record 1
A geometry-optimized Ho2ErIn2Hg2 structure, computed with PBE.

- D(E_F): 4.0 states/eV/f.u.
- DFT formation energy: -238 meV per atom

Unit cell a=9.2037 b=9.2037 c=9.2037 alpha=31.11 beta=31.11 gamma=31.11
Closest atoms and distances in Å follow each position.
Fractional coordinates of all 7 atoms:
Ho1 0.1308 0.1308 0.1308  3 Hg 3.01, 3 In 3.36
Ho2 0.8692 0.8692 0.8692  3 Hg 3.01, 3 In 3.36
Er1 0.0000 0.0000 0.0000  6 In 3.30, 2 Ho 3.44
In1 0.2699 0.2699 0.2699  3 Hg 2.96, 3 Er 3.30
In2 0.7301 0.7301 0.7301  3 Hg 2.96, 3 Er 3.30
Hg1 0.4274 0.4274 0.4274  3 In 2.96, 3 Ho 3.01
Hg2 0.5726 0.5726 0.5726  3 In 2.96, 3 Ho 3.01

---

Record 2
A geometry-optimized HoErHgIr structure, computed with PBE.

- D(E_F): 1.9 states/eV/f.u.
- DFT formation energy: -643 meV per atom

Unit cell a=5.0019 b=5.0019 c=5.0019 alpha=60.00 beta=60.00 gamma=60.00
Closest atoms and distances in Å follow each position.
Fractional coordinates of all 4 atoms:
Ho1 0.0000 0.0000 0.0000  4 Hg 3.06, 4 Ir 3.06
Er1 0.5000 0.5000 0.5000  4 Hg 3.06, 4 Ir 3.06
Hg1 0.7500 0.7500 0.7500  4 Ho 3.06, 4 Er 3.06
Ir1 0.2500 0.2500 0.2500  4 Ho 3.06, 4 Er 3.06

---

Record 3
A geometry-optimized LiHoErHg structure, computed with PBE.

- D(E_F): 4.6 states/eV/f.u.
- DFT formation energy: -213 meV per atom

Unit cell a=5.1876 b=5.1876 c=5.1876 alpha=60.00 beta=60.00 gamma=60.00
Closest atoms and distances in Å follow each position.
Fractional coordinates of all 4 atoms:
Li1 0.0000 0.0000 0.0000  4 Ho 3.18, 4 Er 3.18
Ho1 0.2500 0.2500 0.2500  4 Hg 3.18, 4 Li 3.18
Er1 0.7500 0.7500 0.7500  4 Hg 3.18, 4 Li 3.18
Hg1 0.5000 0.5000 0.5000  4 Er 3.18, 4 Ho 3.18

---

Record 4
A geometry-optimized Ho2ErMgHg4 structure, computed with PBE.

- D(E_F): 2.7 states/eV/f.u.
- DFT formation energy: -466 meV per atom

Unit cell a=8.9975 b=8.9975 c=8.9975 alpha=33.14 beta=33.14 gamma=33.14
Closest atoms and distances in Å follow each position.
Fractional coordinates of all 8 atoms:
Ho1 0.2458 0.2458 0.2458  8 Hg 3.09-3.25
Ho2 0.7542 0.7542 0.7542  8 Hg 3.09-3.25
Er1 0.0000 0.0000 0.0000  8 Hg 3.13-3.17
Mg1 0.5000 0.5000 0.5000  8 Hg 3.15-3.23
Hg1 0.1245 0.1245 0.1245  4 Ho 3.09-3.11, 3 Mg 3.15, 1 Er 3.17
Hg2 0.3732 0.3732 0.3732  3 Er 3.13, 4 Ho 3.20-3.25, 1 Mg 3.23
Hg3 0.6268 0.6268 0.6268  3 Er 3.13, 4 Ho 3.20-3.25, 1 Mg 3.23
Hg4 0.8755 0.8755 0.8755  4 Ho 3.09-3.11, 3 Mg 3.15, 1 Er 3.17

---

Record 5
A geometry-optimized HoEr2MgHg4 structure, computed with PBE.

- D(E_F): 3.1 states/eV/f.u.
- DFT formation energy: -461 meV per atom

Unit cell a=8.9940 b=8.9940 c=8.9940 alpha=33.11 beta=33.11 gamma=33.11
Closest atoms and distances in Å follow each position.
Fractional coordinates of all 8 atoms:
Ho1 0.0000 0.0000 0.0000  8 Hg 3.13-3.18
Er1 0.2458 0.2458 0.2458  8 Hg 3.08-3.26
Er2 0.7542 0.7542 0.7542  8 Hg 3.08-3.26
Mg1 0.5000 0.5000 0.5000  8 Hg 3.15-3.22
Hg1 0.1248 0.1248 0.1248  4 Er 3.08-3.11, 3 Mg 3.15, 1 Ho 3.18
Hg2 0.3737 0.3737 0.3737  3 Ho 3.13, 4 Er 3.19-3.26, 1 Mg 3.22
Hg3 0.6263 0.6263 0.6263  3 Ho 3.13, 4 Er 3.19-3.26, 1 Mg 3.22
Hg4 0.8752 0.8752 0.8752  4 Er 3.08-3.11, 3 Mg 3.15, 1 Ho 3.18

---

Record 6
A geometry-optimized HoEr2HgN structure, computed with PBE.

- D(E_F): 3.4 states/eV/f.u.
- Formation energy without anion corrections: -950.5 meV/atom

Unit cell a=4.7466 b=4.7466 c=4.7700 alpha=90.00 beta=90.00 gamma=90.00
Closest atoms and distances in Å follow each position.
Fractional coordinates of all 5 atoms:
Ho1 0.0000 0.0000 0.0000  2 N 2.38
Er1 0.0000 0.5000 0.5000  2 N 2.37
Er2 0.5000 0.0000 0.5000  2 N 2.37
Hg1 0.5000 0.5000 0.0000  4 Ho 3.36, 8 Er 3.36
N1 0.0000 0.0000 0.5000  4 Er 2.37, 2 Ho 2.38

---

Record 7
A geometry-optimized NdHoEr2Hg4 structure, computed with PBE.

- D(E_F): 8.1 states/eV/f.u.
- DFT formation energy: -469 meV per atom

Unit cell a=9.1809 b=9.1809 c=9.1809 alpha=33.37 beta=33.37 gamma=33.37
Closest atoms and distances in Å follow each position.
Fractional coordinates of all 8 atoms:
Nd1 0.0000 0.0000 0.0000  8 Hg 3.26-3.30
Ho1 0.5000 0.5000 0.5000  8 Hg 3.17-3.21
Er1 0.2492 0.2492 0.2492  8 Hg 3.17-3.34
Er2 0.7508 0.7508 0.7508  8 Hg 3.17-3.34
Hg1 0.1271 0.1271 0.1271  4 Er 3.17-3.24, 3 Ho 3.21, 1 Nd 3.30
Hg2 0.3778 0.3778 0.3778  1 Ho 3.17, 4 Er 3.21-3.34, 3 Nd 3.26
Hg3 0.6222 0.6222 0.6222  1 Ho 3.17, 4 Er 3.21-3.34, 3 Nd 3.26
Hg4 0.8729 0.8729 0.8729  4 Er 3.17-3.24, 3 Ho 3.21, 1 Nd 3.30

---

Record 8
A geometry-optimized HoErHgPb structure, computed with PBE.

- D(E_F): 3.4 states/eV/f.u.
- Relative energy among the computed polymorphs: 0 meV/atom
- DFT formation energy: -438 meV per atom

Unit cell a=3.9380 b=5.1942 c=5.1955 alpha=90.00 beta=90.00 gamma=90.00
Closest atoms and distances in Å follow each position.
Fractional coordinates of all 4 atoms:
Ho1 0.0000 0.0000 0.0000  4 Pb 3.26, 4 Hg 3.26
Er1 0.0000 0.5000 0.5000  4 Hg 3.26, 4 Pb 3.26
Hg1 0.5000 0.0000 0.5000  4 Er 3.26, 4 Ho 3.26
Pb1 0.5000 0.5000 0.0000  4 Ho 3.26, 4 Er 3.26

---

Record 9
A geometry-optimized HoErHgPb structure, computed with PBE.

- D(E_F): 4.5 states/eV/f.u.
- Relative energy among the computed polymorphs: 10 meV/atom
- DFT formation energy: -428 meV per atom

Unit cell a=5.3118 b=5.3118 c=5.3118 alpha=60.00 beta=60.00 gamma=60.00
Closest atoms and distances in Å follow each position.
Fractional coordinates of all 4 atoms:
Ho1 0.0000 0.0000 0.0000  4 Pb 3.25, 4 Hg 3.25
Er1 0.5000 0.5000 0.5000  4 Hg 3.25, 4 Pb 3.25
Hg1 0.2500 0.2500 0.2500  4 Er 3.25, 4 Ho 3.25
Pb1 0.7500 0.7500 0.7500  4 Er 3.25, 4 Ho 3.25

---

Record 10
A geometry-optimized HoErHgPd structure, computed with PBE.

- D(E_F): 2.6 states/eV/f.u.
- Relative energy among the computed polymorphs: 0 meV/atom
- DFT formation energy: -700 meV per atom

Unit cell a=3.5584 b=3.5584 c=7.3252 alpha=90.00 beta=90.00 gamma=90.00
Closest atoms and distances in Å follow each position.
Fractional coordinates of all 4 atoms:
Ho1 0.0000 0.0000 0.0000  4 Pd 3.03, 4 Hg 3.21, 1 Er 3.36
Er1 0.0000 0.0000 0.4581  4 Pd 3.01, 4 Hg 3.20, 1 Ho 3.36
Hg1 0.5000 0.5000 0.7275  4 Er 3.20, 4 Ho 3.21, 4 Hg 3.56
Pd1 0.5000 0.5000 0.2315  4 Er 3.01, 4 Ho 3.03

---

Record 11
A geometry-optimized HoErHgPd structure, computed with PBE.

- D(E_F): 2.6 states/eV/f.u.
- Relative energy among the computed polymorphs: 38 meV/atom
- DFT formation energy: -662 meV per atom

Unit cell a=5.0808 b=5.0808 c=5.0808 alpha=60.00 beta=60.00 gamma=60.00
Closest atoms and distances in Å follow each position.
Fractional coordinates of all 4 atoms:
Ho1 0.0000 0.0000 0.0000  4 Pd 3.11, 4 Hg 3.11
Er1 0.5000 0.5000 0.5000  4 Hg 3.11, 4 Pd 3.11
Hg1 0.2500 0.2500 0.2500  4 Er 3.11, 4 Ho 3.11
Pd1 0.7500 0.7500 0.7500  4 Er 3.11, 4 Ho 3.11

---

Record 12
A geometry-optimized PmHoEr2Hg4 structure, computed with PBE.

- D(E_F): 8.0 states/eV/f.u.
- DFT formation energy: -473 meV per atom

Unit cell a=9.1553 b=9.1553 c=9.1553 alpha=33.42 beta=33.42 gamma=33.42
Closest atoms and distances in Å follow each position.
Fractional coordinates of all 8 atoms:
Pm1 0.0000 0.0000 0.0000  8 Hg 3.24-3.28
Ho1 0.5000 0.5000 0.5000  8 Hg 3.18-3.21
Er1 0.2493 0.2493 0.2493  8 Hg 3.18-3.31
Er2 0.7507 0.7507 0.7507  8 Hg 3.18-3.31
Hg1 0.1266 0.1266 0.1266  4 Er 3.18-3.23, 3 Ho 3.21, 1 Pm 3.28
Hg2 0.3771 0.3771 0.3771  1 Ho 3.18, 4 Er 3.21-3.31, 3 Pm 3.24
Hg3 0.6229 0.6229 0.6229  1 Ho 3.18, 4 Er 3.21-3.31, 3 Pm 3.24
Hg4 0.8734 0.8734 0.8734  4 Er 3.18-3.23, 3 Ho 3.21, 1 Pm 3.28

---

Record 13
A geometry-optimized PmHo2ErHg4 structure, computed with PBE.

- D(E_F): 8.2 states/eV/f.u.
- DFT formation energy: -473 meV per atom

Unit cell a=9.1648 b=9.1648 c=9.1648 alpha=33.41 beta=33.41 gamma=33.41
Closest atoms and distances in Å follow each position.
Fractional coordinates of all 8 atoms:
Pm1 0.0000 0.0000 0.0000  8 Hg 3.25-3.29
Ho1 0.2492 0.2492 0.2492  8 Hg 3.18-3.32
Ho2 0.7508 0.7508 0.7508  8 Hg 3.18-3.32
Er1 0.5000 0.5000 0.5000  8 Hg 3.18-3.21
Hg1 0.1267 0.1267 0.1267  4 Ho 3.18-3.24, 3 Er 3.21, 1 Pm 3.29
Hg2 0.3773 0.3773 0.3773  1 Er 3.18, 4 Ho 3.21-3.32, 3 Pm 3.25
Hg3 0.6227 0.6227 0.6227  1 Er 3.18, 4 Ho 3.21-3.32, 3 Pm 3.25
Hg4 0.8733 0.8733 0.8733  4 Ho 3.18-3.24, 3 Er 3.21, 1 Pm 3.29

---

Record 14
A geometry-optimized PmHoErHg structure, computed with PBE.

- D(E_F): 6.4 states/eV/f.u.
- Relative energy among the computed polymorphs: 223 meV/atom
- DFT formation energy: -14 meV per atom

Unit cell a=5.4112 b=5.4112 c=5.4112 alpha=60.00 beta=60.00 gamma=60.00
Closest atoms and distances in Å follow each position.
Fractional coordinates of all 4 atoms:
Pm1 0.0000 0.0000 0.0000  4 Er 3.31, 4 Ho 3.31
Ho1 0.2500 0.2500 0.2500  4 Hg 3.31, 4 Pm 3.31
Er1 0.7500 0.7500 0.7500  4 Hg 3.31, 4 Pm 3.31
Hg1 0.5000 0.5000 0.5000  4 Er 3.31, 4 Ho 3.31